Here is crystalline LiSb2Pt6 at its relaxed geometry from the Alexandria database. Energies are from PBE-GGA. Values from VASP.

Cell and atoms, written as Quantum ESPRESSO input:
```
&SYSTEM
  ibrav = 0, nat = 9, ntyp = 3
/
ATOMIC_SPECIES
Li 6.94 Li.upf
Sb 121.76 Sb.upf
Pt 195.08 Pt.upf
CELL_PARAMETERS angstrom
3.7699 -6.1557 0.0000
3.7699 6.1557 0.0000
-0.0005 0.0000 3.4184
ATOMIC_POSITIONS crystal
Li 0.0000 0.0000 0.0000
Sb 0.5759 0.8617 0.5016
Sb 0.8617 0.5759 0.5016
Pt 0.1733 0.5340 0.0002
Pt 0.2292 0.8861 0.4997
Pt 0.2786 0.2786 0.5004
Pt 0.5340 0.1733 0.0002
Pt 0.5728 0.5728 0.0013
Pt 0.8861 0.2292 0.4997
```

ΔE_f (raw) = -0.24 eV/atom

Here is crystalline NdEr2Ga9 at its relaxed geometry from the Alexandria database. Energies are from PBE-GGA. Values from VASP.

Cell and atoms, written as Quantum ESPRESSO input:
```
&SYSTEM
  ibrav = 0, nat = 12, ntyp = 3
/
ATOMIC_SPECIES
Nd 144.24 Nd.upf
Er 167.26 Er.upf
Ga 69.72 Ga.upf
CELL_PARAMETERS angstrom
4.2971 0.0000 0.0000
0.0000 4.2971 0.0000
0.0000 0.0000 12.8681
ATOMIC_POSITIONS crystal
Nd 0.0000 0.0000 0.0000
Er 0.0000 0.0000 0.3366
Er 0.0000 0.0000 0.6634
Ga 0.0000 0.5000 0.1728
Ga 0.0000 0.5000 0.5000
Ga 0.0000 0.5000 0.8272
Ga 0.5000 0.0000 0.1728
Ga 0.5000 0.0000 0.5000
Ga 0.5000 0.0000 0.8272
Ga 0.5000 0.5000 0.0000
Ga 0.5000 0.5000 0.3340
Ga 0.5000 0.5000 0.6660
```

energy of formation from the pure elements = -520.3 meV per atom

Here is crystalline LaCu3Rh4O12 at its relaxed geometry from the Alexandria database. Energies are from PBE-GGA. Values from VASP.

Cell and atoms, written as Quantum ESPRESSO input:
```
&SYSTEM
  ibrav = 0, nat = 20, ntyp = 4
/
ATOMIC_SPECIES
La 138.91 La.upf
Cu 63.55 Cu.upf
Rh 102.91 Rh.upf
O 16.00 O.upf
CELL_PARAMETERS angstrom
-3.7763 3.7763 3.7763
3.7763 -3.7763 3.7763
3.7763 3.7763 -3.7763
ATOMIC_POSITIONS crystal
La 0.0000 0.0000 0.0000
Cu 0.0000 0.5000 0.5000
Cu 0.5000 0.0000 0.5000
Cu 0.5000 0.5000 0.0000
Rh 0.0000 0.0000 0.5000
Rh 0.0000 0.5000 0.0000
Rh 0.5000 0.0000 0.0000
Rh 0.5000 0.5000 0.5000
O 0.1418 0.8342 0.3076
O 0.1658 0.3076 0.4734
O 0.1658 0.6924 0.8582
O 0.3076 0.1418 0.8342
O 0.3076 0.4734 0.1658
O 0.4734 0.1658 0.3076
O 0.5266 0.8342 0.6924
O 0.6924 0.5266 0.8342
O 0.6924 0.8582 0.1658
O 0.8342 0.3076 0.1418
O 0.8342 0.6924 0.5266
O 0.8582 0.1658 0.6924
```

ΔE_f (raw) = -1.04 eV/atom

Here is crystalline CaPrTm2S4 at its relaxed geometry from the Alexandria database. Energies are from PBE-GGA. Values from VASP.

Cell and atoms, written as Quantum ESPRESSO input:
```
&SYSTEM
  ibrav = 0, nat = 8, ntyp = 4
/
ATOMIC_SPECIES
Ca 40.08 Ca.upf
Pr 140.91 Pr.upf
Tm 168.93 Tm.upf
S 32.06 S.upf
CELL_PARAMETERS angstrom
6.8605 0.0000 0.0000
0.0000 3.9226 0.0000
-2.2348 0.0000 6.4922
ATOMIC_POSITIONS crystal
Ca 0.0000 0.0000 0.0000
Pr 0.5000 0.5000 0.0000
Tm 0.0000 0.5000 0.5000
Tm 0.5000 0.0000 0.5000
S 0.2374 0.0000 0.7314
S 0.2495 0.5000 0.2651
S 0.7505 0.5000 0.7349
S 0.7626 0.0000 0.2686
```

ΔE_f (raw) = -2.00 eV/atom

Here is crystalline CoTeOs2 at its relaxed geometry from the Alexandria database. Energies are from PBE-GGA. Values from VASP.

Cell and atoms, written as Quantum ESPRESSO input:
```
&SYSTEM
  ibrav = 0, nat = 8, ntyp = 3
/
ATOMIC_SPECIES
Co 58.93 Co.upf
Te 127.60 Te.upf
Os 190.23 Os.upf
CELL_PARAMETERS angstrom
5.7547 0.0000 0.0000
0.0000 6.9946 0.0000
0.0000 0.0000 2.9936
ATOMIC_POSITIONS crystal
Co 0.0000 0.0000 0.0000
Co 0.5000 0.5000 0.0000
Te 0.0000 0.5000 0.0000
Te 0.5000 0.0000 0.0000
Os 0.2500 0.2500 0.5000
Os 0.2500 0.7500 0.5000
Os 0.7500 0.2500 0.5000
Os 0.7500 0.7500 0.5000
```

ΔE_f (raw) = 0.82 eV/atom

Here is crystalline KI4 at its relaxed geometry from the Alexandria database. Energies are from PBE-GGA. Values from VASP.

Cell and atoms, written as Quantum ESPRESSO input:
```
&SYSTEM
  ibrav = 0, nat = 5, ntyp = 2
/
ATOMIC_SPECIES
K 39.10 K.upf
I 126.90 I.upf
CELL_PARAMETERS angstrom
6.6518 0.0000 0.0000
0.0000 6.6518 0.0000
0.0000 0.0000 6.6518
ATOMIC_POSITIONS crystal
K 0.0000 0.0000 0.0000
I 0.0000 0.0000 0.5000
I 0.0000 0.5000 0.0000
I 0.5000 0.0000 0.0000
I 0.5000 0.5000 0.5000
```

ΔE_f (raw) = 0.03 eV/atom

Here is crystalline RbRh at its relaxed geometry from the Alexandria database. Energies are from PBE-GGA. Values from VASP.

Cell and atoms, written as Quantum ESPRESSO input:
```
&SYSTEM
  ibrav = 0, nat = 8, ntyp = 2
/
ATOMIC_SPECIES
Rb 85.47 Rb.upf
Rh 102.91 Rh.upf
CELL_PARAMETERS angstrom
6.8447 0.0000 0.0000
0.0000 6.8447 0.0000
0.0000 0.0000 6.8447
ATOMIC_POSITIONS crystal
Rb 0.0000 0.0000 0.0000
Rb 0.0000 0.5000 0.5000
Rb 0.5000 0.0000 0.5000
Rb 0.5000 0.5000 0.0000
Rh 0.2500 0.2500 0.7500
Rh 0.2500 0.7500 0.2500
Rh 0.7500 0.2500 0.2500
Rh 0.7500 0.7500 0.7500
```

energy of formation from the pure elements = 1855.7 meV per atom

Here is crystalline MgTcIr2 at its relaxed geometry from the Alexandria database. Energies are from PBE-GGA. Values from VASP.

Cell and atoms, written as Quantum ESPRESSO input:
```
&SYSTEM
  ibrav = 0, nat = 8, ntyp = 3
/
ATOMIC_SPECIES
Mg 24.30 Mg.upf
Tc 98.00 Tc.upf
Ir 192.22 Ir.upf
CELL_PARAMETERS angstrom
3.8277 0.0000 0.0000
0.0000 3.8277 0.0000
0.0000 0.0000 8.1041
ATOMIC_POSITIONS crystal
Mg 0.0000 0.0000 0.0000
Mg 0.5000 0.5000 0.5000
Tc 0.0000 0.5000 0.7500
Tc 0.5000 0.0000 0.2500
Ir 0.0000 0.0000 0.5000
Ir 0.0000 0.5000 0.2500
Ir 0.5000 0.0000 0.7500
Ir 0.5000 0.5000 0.0000
```

energy of formation from the pure elements = -57.4 meV per atom